VASP calculation (PBE) on crystalline Pm3Mg7Hg2 at its relaxed geometry.

The calculation puts the density of states at the Fermi level at 0.894 states/eV/atom. The calculation puts the spin magnetization at 0.00 μB/cell. Its crystal system is trigonal. The formation energy comes out at -2.2 eV per formula unit.

Lattice parameters (Å, degrees): 10.266 10.266 10.266 34.33 34.33 34.33
Sites, in units of the cell vectors:
Pm 0.000 0.000 0.000
Pm 0.144 0.144 0.144
Pm 0.856 0.856 0.856
Mg 0.077 0.582 0.582
Mg 0.418 0.418 0.923
Mg 0.418 0.923 0.418
Mg 0.500 0.500 0.500
Mg 0.582 0.077 0.582
Mg 0.582 0.582 0.077
Mg 0.923 0.418 0.418
Hg 0.334 0.334 0.334
Hg 0.666 0.666 0.666